No. 1
Pa6AgTe12 | PBE-GGA | optimized geometry

Structure (CIF):
```
data_Pa6AgTe12
_chemical_formula_sum 'Pa18 Ag3 Te36'
_cell_length_a 13.7143
_cell_length_b 13.7143
_cell_length_c 11.9504
_cell_angle_alpha 90.00
_cell_angle_beta 90.00
_cell_angle_gamma 120.00
_space_group_name_H-M_alt 'R -3'
_space_group_IT_number 148
_space_group_name_Hall '-R 3'
loop_
_atom_site_label
_atom_site_type_symbol
_atom_site_fract_x
_atom_site_fract_y
_atom_site_fract_z
_atom_site_occupancy
Pa1 Pa 0.0508 0.2761 0.1441 1
Ag1 Ag 0.0000 0.0000 0.5000 1
Te1 Te 0.0341 0.2092 0.8833 1
Te2 Te 0.0532 0.2092 0.3889 1
```

Calculated values
Electronic total energy = -329.64 eV/cell
Magnetization = 7.07 μB per formula unit
Raw formation energy = -650 meV per atom

No. 2
PaAg2Te6 | PBE-GGA | optimized geometry

Structure (CIF):
```
data_PaAg2Te6
_chemical_formula_sum 'Pa2 Ag4 Te12'
_cell_length_a 8.939
_cell_length_b 5.633
_cell_length_c 12.230
_cell_angle_alpha 90.00
_cell_angle_beta 105.62
_cell_angle_gamma 90.00
_space_group_name_H-M_alt 'C 1 2/m 1'
_space_group_IT_number 12
_space_group_name_Hall '-C 2y'
loop_
_atom_site_label
_atom_site_type_symbol
_atom_site_fract_x
_atom_site_fract_y
_atom_site_fract_z
_atom_site_occupancy
Pa1 Pa 0.000 0.000 0.000 1
Ag1 Ag 0.165 0.000 0.594 1
Te1 Te 0.017 0.000 0.251 1
Te2 Te 0.176 0.500 0.578 1
Te3 Te 0.182 0.500 0.067 1
```

Calculated values
Electronic total energy = -72.01 eV/cell
Magnetization = 0.00 μB per formula unit
Raw formation energy = -217 meV per atom

No. 3
Pa2Ag2Te7 | PBE-GGA | optimized geometry

Structure (CIF):
```
data_Pa2Ag2Te7
_chemical_formula_sum 'Pa4 Ag4 Te14'
_cell_length_a 4.285
_cell_length_b 16.785
_cell_length_c 9.479
_cell_angle_alpha 90.00
_cell_angle_beta 90.00
_cell_angle_gamma 90.00
_space_group_name_H-M_alt 'I m m 2'
_space_group_IT_number 44
_space_group_name_Hall 'I 2 -2'
loop_
_atom_site_label
_atom_site_type_symbol
_atom_site_fract_x
_atom_site_fract_y
_atom_site_fract_z
_atom_site_occupancy
Pa1 Pa 0.000 0.000 0.000 1
Pa2 Pa 0.000 0.500 0.079 1
Ag1 Ag 0.000 0.334 0.827 1
Te1 Te 0.000 0.126 0.532 1
Te2 Te 0.000 0.173 0.131 1
Te3 Te 0.000 0.393 0.354 1
Te4 Te 0.000 0.500 0.740 1
```

Calculated values
Electronic total energy = -102.41 eV/cell
Magnetization = 0.00 μB per formula unit
Raw formation energy = -411 meV per atom

No. 4
Pa2Tl3AgTe6 | PBE-GGA | optimized geometry

Structure (CIF):
```
data_Pa2Tl3AgTe6
_chemical_formula_sum 'Pa4 Tl6 Ag2 Te12'
_cell_length_a 7.570
_cell_length_b 13.170
_cell_length_c 8.681
_cell_angle_alpha 90.00
_cell_angle_beta 106.81
_cell_angle_gamma 90.00
_space_group_name_H-M_alt 'C 1 2/m 1'
_space_group_IT_number 12
_space_group_name_Hall '-C 2y'
loop_
_atom_site_label
_atom_site_type_symbol
_atom_site_fract_x
_atom_site_fract_y
_atom_site_fract_z
_atom_site_occupancy
Pa1 Pa 0.000 0.168 0.000 1
Tl1 Tl 0.000 0.000 0.500 1
Tl2 Tl 0.000 0.335 0.500 1
Ag1 Ag 0.000 0.500 0.000 1
Te1 Te 0.233 0.000 0.210 1
Te2 Te 0.242 0.330 0.217 1
```

Calculated values
Electronic total energy = -108.55 eV/cell
Magnetization = 2.01 μB per formula unit
Raw formation energy = -540 meV per atom

No. 5
Pa3Tl3AgTe8 | PBE-GGA | optimized geometry

Structure (CIF):
```
data_Pa3Tl3AgTe8
_chemical_formula_sum 'Pa6 Tl6 Ag2 Te16'
_cell_length_a 15.087
_cell_length_b 8.738
_cell_length_c 9.729
_cell_angle_alpha 90.00
_cell_angle_beta 121.02
_cell_angle_gamma 90.00
_space_group_name_H-M_alt 'C 1 2/m 1'
_space_group_IT_number 12
_space_group_name_Hall '-C 2y'
loop_
_atom_site_label
_atom_site_type_symbol
_atom_site_fract_x
_atom_site_fract_y
_atom_site_fract_z
_atom_site_occupancy
Pa1 Pa 0.000 0.000 0.000 1
Pa2 Pa 0.250 0.250 0.000 1
Tl1 Tl 0.000 0.500 0.500 1
Tl2 Tl 0.250 0.250 0.500 1
Ag1 Ag 0.000 0.500 0.000 1
Te1 Te 0.014 0.244 0.787 1
Te2 Te 0.240 0.000 0.219 1
Te3 Te 0.240 0.500 0.211 1
```

Calculated values
Electronic total energy = -144.01 eV/cell
Magnetization = 3.01 μB per formula unit
Raw formation energy = -562 meV per atom

No. 6
PaTlAg2Te4 | PBE-GGA | optimized geometry

Structure (CIF):
```
data_PaTlAg2Te4
_chemical_formula_sum 'Pa2 Tl2 Ag4 Te8'
_cell_length_a 7.421
_cell_length_b 8.192
_cell_length_c 8.460
_cell_angle_alpha 90.00
_cell_angle_beta 90.00
_cell_angle_gamma 90.00
_space_group_name_H-M_alt 'I 2 2 2'
_space_group_IT_number 23
_space_group_name_Hall 'I 2 2'
loop_
_atom_site_label
_atom_site_type_symbol
_atom_site_fract_x
_atom_site_fract_y
_atom_site_fract_z
_atom_site_occupancy
Pa1 Pa 0.000 0.000 0.000 1
Tl1 Tl 0.000 0.000 0.500 1
Ag1 Ag 0.000 0.500 0.332 1
Te1 Te 0.226 0.229 0.819 1
```

Calculated values
Electronic total energy = -64.52 eV/cell
Magnetization = 0.17 μB per formula unit
Raw formation energy = -266 meV per atom

No. 7
PaTl2AgTe4 | PBE-GGA | optimized geometry

Structure (CIF):
```
data_PaTl2AgTe4
_chemical_formula_sum 'Pa1 Tl2 Ag1 Te4'
_cell_length_a 7.340
_cell_length_b 4.477
_cell_length_c 8.601
_cell_angle_alpha 90.00
_cell_angle_beta 107.79
_cell_angle_gamma 90.00
_space_group_name_H-M_alt 'P 1 2/m 1'
_space_group_IT_number 10
_space_group_name_Hall '-P 2y'
loop_
_atom_site_label
_atom_site_type_symbol
_atom_site_fract_x
_atom_site_fract_y
_atom_site_fract_z
_atom_site_occupancy
Pa1 Pa 0.000 0.000 0.000 1
Tl1 Tl 0.000 0.500 0.500 1
Tl2 Tl 0.500 0.000 0.500 1
Ag1 Ag 0.500 0.500 0.000 1
Te1 Te 0.231 0.500 0.214 1
Te2 Te 0.257 0.000 0.793 1
```

Calculated values
Electronic total energy = -33.39 eV/cell
Magnetization = 0.07 μB per formula unit
Raw formation energy = -467 meV per atom

No. 8
Zr2PaAg2Te6 | PBE-GGA | optimized geometry

Structure (CIF):
```
data_Zr2PaAg2Te6
_chemical_formula_sum 'Zr4 Pa2 Ag4 Te12'
_cell_length_a 7.156
_cell_length_b 12.404
_cell_length_c 7.598
_cell_angle_alpha 90.00
_cell_angle_beta 97.56
_cell_angle_gamma 90.00
_space_group_name_H-M_alt 'C 1 2/m 1'
_space_group_IT_number 12
_space_group_name_Hall '-C 2y'
loop_
_atom_site_label
_atom_site_type_symbol
_atom_site_fract_x
_atom_site_fract_y
_atom_site_fract_z
_atom_site_occupancy
Zr1 Zr 0.000 0.159 0.000 1
Pa1 Pa 0.000 0.500 0.000 1
Ag1 Ag 0.000 0.387 0.500 1
Te1 Te 0.189 0.000 0.248 1
Te2 Te 0.207 0.322 0.235 1
```

Calculated values
Electronic total energy = -115.27 eV/cell
Magnetization = 1.71 μB per formula unit
Raw formation energy = -590 meV per atom

No. 9
PaTiAg | PBE-GGA | optimized geometry

Structure (CIF):
```
data_PaTiAg
_chemical_formula_sum 'Pa2 Ti2 Ag2'
_cell_length_a 3.290
_cell_length_b 3.290
_cell_length_c 11.028
_cell_angle_alpha 90.00
_cell_angle_beta 90.00
_cell_angle_gamma 90.00
_space_group_name_H-M_alt 'P 4/n m m'
_space_group_IT_number 129
loop_
_space_group_symop_operation_xyz
'x,y,z'
'-x,-y,-z'
'-y+1/2,x,z'
'y+1/2,-x,-z'
'-x+1/2,-y+1/2,z'
'x+1/2,y+1/2,-z'
'y,-x+1/2,z'
'-y,x+1/2,-z'
'x+1/2,-y,-z'
'-x+1/2,y,z'
'-y,-x,-z'
'y,x,z'
'-x,y+1/2,-z'
'x,-y+1/2,z'
'y+1/2,x+1/2,-z'
'-y+1/2,-x+1/2,z'
loop_
_atom_site_label
_atom_site_type_symbol
_atom_site_fract_x
_atom_site_fract_y
_atom_site_fract_z
_atom_site_occupancy
Pa1 Pa 0.250 0.250 0.102 1
Ti1 Ti 0.250 0.250 0.718 1
Ag1 Ag 0.250 0.250 0.425 1
```

Calculated values
Electronic total energy = -40.24 eV/cell
Magnetization = 0.00 μB per formula unit
ΔH_f (0 K) = 0.0414 eV/atom

No. 10
PaTi2Ag | PBE-GGA | optimized geometry

Structure (CIF):
```
data_PaTi2Ag
_chemical_formula_sum 'Pa1 Ti2 Ag1'
_cell_length_a 3.388
_cell_length_b 3.388
_cell_length_c 6.556
_cell_angle_alpha 90.00
_cell_angle_beta 90.00
_cell_angle_gamma 90.00
_space_group_name_H-M_alt 'P 4/m m m'
_space_group_IT_number 123
_space_group_name_Hall '-P 4 2'
loop_
_atom_site_label
_atom_site_type_symbol
_atom_site_fract_x
_atom_site_fract_y
_atom_site_fract_z
_atom_site_occupancy
Pa1 Pa 0.000 0.000 0.000 1
Ti1 Ti 0.500 0.500 0.242 1
Ag1 Ag 0.000 0.000 0.500 1
```

Calculated values
Electronic total energy = -27.71 eV/cell
Magnetization = 0.00 μB per formula unit
ΔH_f (0 K) = 0.1079 eV/atom

No. 11
PaTi2Ag | PBE-GGA | optimized geometry

Structure (CIF):
```
data_PaTi2Ag
_chemical_formula_sum 'Pa1 Ti2 Ag1'
_cell_length_a 4.907
_cell_length_b 4.907
_cell_length_c 3.119
_cell_angle_alpha 90.00
_cell_angle_beta 90.00
_cell_angle_gamma 90.00
_space_group_name_H-M_alt 'P 4/m m m'
_space_group_IT_number 123
_space_group_name_Hall '-P 4 2'
loop_
_atom_site_label
_atom_site_type_symbol
_atom_site_fract_x
_atom_site_fract_y
_atom_site_fract_z
_atom_site_occupancy
Pa1 Pa 0.000 0.000 0.000 1
Ti1 Ti 0.000 0.500 0.500 1
Ag1 Ag 0.500 0.500 0.000 1
```

Calculated values
Electronic total energy = -27.71 eV/cell
Magnetization = 0.00 μB per formula unit
ΔH_f (0 K) = 0.1067 eV/atom

No. 12
PaTl2Ag | PBE-GGA | optimized geometry

Structure (CIF):
```
data_PaTl2Ag
_chemical_formula_sum 'Pa1 Tl2 Ag1'
_cell_length_a 3.321
_cell_length_b 3.321
_cell_length_c 8.762
_cell_angle_alpha 90.00
_cell_angle_beta 90.00
_cell_angle_gamma 90.00
_space_group_name_H-M_alt 'P 4/m m m'
_space_group_IT_number 123
_space_group_name_Hall '-P 4 2'
loop_
_atom_site_label
_atom_site_type_symbol
_atom_site_fract_x
_atom_site_fract_y
_atom_site_fract_z
_atom_site_occupancy
Pa1 Pa 0.000 0.000 0.000 1
Tl1 Tl 0.500 0.500 0.272 1
Ag1 Ag 0.000 0.000 0.500 1
```

Calculated values
Electronic total energy = -16.18 eV/cell
E above lowest polymorph = 0.009 eV per atom
Magnetization = 1.02 μB per formula unit
ΔH_f (0 K) = 0.2258 eV/atom

No. 13
PaTlAg2 | PBE-GGA | optimized geometry

Structure (CIF):
```
data_PaTlAg2
_chemical_formula_sum 'Pa4 Tl4 Ag8'
_cell_length_a 7.102
_cell_length_b 7.102
_cell_length_c 7.102
_cell_angle_alpha 90.00
_cell_angle_beta 90.00
_cell_angle_gamma 90.00
_space_group_name_H-M_alt 'F m -3 m'
_space_group_IT_number 225
_space_group_name_Hall '-F 4 2 3'
loop_
_atom_site_label
_atom_site_type_symbol
_atom_site_fract_x
_atom_site_fract_y
_atom_site_fract_z
_atom_site_occupancy
Pa1 Pa 0.000 0.000 0.000 1
Tl1 Tl 0.000 0.000 0.500 1
Ag1 Ag 0.250 0.250 0.250 1
```

Calculated values
Electronic total energy = -67.38 eV/cell
E above lowest polymorph = 0.000 eV per atom
Magnetization = 0.00 μB per formula unit
ΔH_f (0 K) = 0.1798 eV/atom

No. 14
PaTlAg2 | PBE-GGA | optimized geometry

Structure (CIF):
```
data_PaTlAg2
_chemical_formula_sum 'Pa3 Tl3 Ag6'
_cell_length_a 3.0819
_cell_length_b 3.0819
_cell_length_c 34.6917
_cell_angle_alpha 90.00
_cell_angle_beta 90.00
_cell_angle_gamma 120.00
_space_group_name_H-M_alt 'R -3 m'
_space_group_IT_number 166
_space_group_name_Hall '-R 3 2"'
loop_
_atom_site_label
_atom_site_type_symbol
_atom_site_fract_x
_atom_site_fract_y
_atom_site_fract_z
_atom_site_occupancy
Pa1 Pa 0.0000 0.0000 0.0000 1
Tl1 Tl 0.0000 0.0000 0.5000 1
Ag1 Ag 0.0000 0.0000 0.0871 1
```

Calculated values
Electronic total energy = -48.15 eV/cell
E above lowest polymorph = 0.199 eV per atom
Magnetization = 1.10 μB per formula unit
ΔH_f (0 K) = 0.3789 eV/atom

No. 15
PaTl2Ag | PBE-GGA | optimized geometry

Structure (CIF):
```
data_PaTl2Ag
_chemical_formula_sum 'Pa1 Tl2 Ag1'
_cell_length_a 4.700
_cell_length_b 4.700
_cell_length_c 4.563
_cell_angle_alpha 90.00
_cell_angle_beta 90.00
_cell_angle_gamma 90.00
_space_group_name_H-M_alt 'P 4/m m m'
_space_group_IT_number 123
_space_group_name_Hall '-P 4 2'
loop_
_atom_site_label
_atom_site_type_symbol
_atom_site_fract_x
_atom_site_fract_y
_atom_site_fract_z
_atom_site_occupancy
Pa1 Pa 0.000 0.000 0.000 1
Tl1 Tl 0.000 0.500 0.500 1
Ag1 Ag 0.500 0.500 0.000 1
```

Calculated values
Electronic total energy = -16.21 eV/cell
E above lowest polymorph = 0.000 eV per atom
Magnetization = 1.23 μB per formula unit
ΔH_f (0 K) = 0.2168 eV/atom

No. 16
PaTlAg2 | PBE-GGA | optimized geometry

Structure (CIF):
```
data_PaTlAg2
_chemical_formula_sum 'Pa1 Tl1 Ag2'
_cell_length_a 3.215
_cell_length_b 3.215
_cell_length_c 8.768
_cell_angle_alpha 90.00
_cell_angle_beta 90.00
_cell_angle_gamma 90.00
_space_group_name_H-M_alt 'P 4/m m m'
_space_group_IT_number 123
_space_group_name_Hall '-P 4 2'
loop_
_atom_site_label
_atom_site_type_symbol
_atom_site_fract_x
_atom_site_fract_y
_atom_site_fract_z
_atom_site_occupancy
Pa1 Pa 0.000 0.000 0.000 1
Tl1 Tl 0.000 0.000 0.500 1
Ag1 Ag 0.500 0.500 0.254 1
```

Calculated values
Electronic total energy = -16.73 eV/cell
E above lowest polymorph = 0.029 eV per atom
Magnetization = 0.79 μB per formula unit
ΔH_f (0 K) = 0.2087 eV/atom

No. 17
PaTl2Ag | PBE-GGA | optimized geometry

Structure (CIF):
```
data_PaTl2Ag
_chemical_formula_sum 'Pa3 Tl6 Ag3'
_cell_length_a 3.2392
_cell_length_b 3.2392
_cell_length_c 34.2265
_cell_angle_alpha 90.00
_cell_angle_beta 90.00
_cell_angle_gamma 120.00
_space_group_name_H-M_alt 'R -3 m'
_space_group_IT_number 166
_space_group_name_Hall '-R 3 2"'
loop_
_atom_site_label
_atom_site_type_symbol
_atom_site_fract_x
_atom_site_fract_y
_atom_site_fract_z
_atom_site_occupancy
Pa1 Pa 0.0000 0.0000 0.0000 1
Tl1 Tl 0.0000 0.0000 0.0940 1
Ag1 Ag 0.0000 0.0000 0.5000 1
```

Calculated values
Electronic total energy = -47.24 eV/cell
E above lowest polymorph = 0.116 eV per atom
Magnetization = 0.41 μB per formula unit
ΔH_f (0 K) = 0.3332 eV/atom

No. 18
YPaTlAg | PBE-GGA | optimized geometry

Structure (CIF):
```
data_YPaTlAg
_chemical_formula_sum 'Y4 Pa4 Tl4 Ag4'
_cell_length_a 7.473
_cell_length_b 7.473
_cell_length_c 7.473
_cell_angle_alpha 90.00
_cell_angle_beta 90.00
_cell_angle_gamma 90.00
_space_group_name_H-M_alt 'F -4 3 m'
_space_group_IT_number 216
_space_group_name_Hall 'F -4 2 3'
loop_
_atom_site_label
_atom_site_type_symbol
_atom_site_fract_x
_atom_site_fract_y
_atom_site_fract_z
_atom_site_occupancy
Y1 Y 0.000 0.000 0.000 1
Pa1 Pa 0.000 0.000 0.500 1
Tl1 Tl 0.250 0.250 0.750 1
Ag1 Ag 0.250 0.250 0.250 1
```

Calculated values
Electronic total energy = -83.28 eV/cell
Magnetization = 2.18 μB per formula unit
ΔH_f (0 K) = 0.0892 eV/atom

No. 19
PaTlZnAg | PBE-GGA | optimized geometry

Structure (CIF):
```
data_PaTlZnAg
_chemical_formula_sum 'Pa4 Tl4 Zn4 Ag4'
_cell_length_a 7.039
_cell_length_b 7.039
_cell_length_c 7.039
_cell_angle_alpha 90.00
_cell_angle_beta 90.00
_cell_angle_gamma 90.00
_space_group_name_H-M_alt 'F -4 3 m'
_space_group_IT_number 216
_space_group_name_Hall 'F -4 2 3'
loop_
_atom_site_label
_atom_site_type_symbol
_atom_site_fract_x
_atom_site_fract_y
_atom_site_fract_z
_atom_site_occupancy
Pa1 Pa 0.000 0.000 0.000 1
Tl1 Tl 0.000 0.000 0.500 1
Zn1 Zn 0.250 0.250 0.250 1
Ag1 Ag 0.250 0.250 0.750 1
```

Calculated values
Electronic total energy = -61.30 eV/cell
Magnetization = 0.39 μB per formula unit
ΔH_f (0 K) = 0.1659 eV/atom

No. 20
Tm2PaAg | PBE-GGA | optimized geometry

Structure (CIF):
```
data_Tm2PaAg
_chemical_formula_sum 'Tm2 Pa1 Ag1'
_cell_length_a 3.434
_cell_length_b 3.434
_cell_length_c 8.512
_cell_angle_alpha 90.00
_cell_angle_beta 90.00
_cell_angle_gamma 90.00
_space_group_name_H-M_alt 'P 4/m m m'
_space_group_IT_number 123
_space_group_name_Hall '-P 4 2'
loop_
_atom_site_label
_atom_site_type_symbol
_atom_site_fract_x
_atom_site_fract_y
_atom_site_fract_z
_atom_site_occupancy
Tm1 Tm 0.000 0.000 0.229 1
Pa1 Pa 0.500 0.500 0.500 1
Ag1 Ag 0.500 0.500 0.000 1
```

Calculated values
Electronic total energy = -21.51 eV/cell
E above lowest polymorph = 0.000 eV per atom
Magnetization = 0.00 μB per formula unit
ΔH_f (0 K) = -0.0544 eV/atom